Material: Na2DyTcO6
Method: DFT, GGA-PBE
State: relaxed Values from VASP.

Values from the calculation:
The raw formation energy comes out at -1920 kJ/mol of formula units. The value obtained for the volume is 13.0 Å³/atom.

The structure in Quantum ESPRESSO input format:
```
&SYSTEM
  ibrav = 0, nat = 20, ntyp = 4
/
ATOMIC_SPECIES
O 16.00 O.upf
Na 22.99 Na.upf
Tc 98.00 Tc.upf
Dy 162.50 Dy.upf
CELL_PARAMETERS angstrom
-1.349 -5.088 1.968
1.330 -2.325 -5.099
7.592 -1.016 2.444
ATOMIC_POSITIONS crystal
O 0.181 0.228 0.050
O 0.911 0.527 0.227
O 0.819 0.772 0.950
O 0.681 0.272 0.550
O 0.589 0.027 0.273
O 0.228 0.186 0.457
O 0.772 0.814 0.543
O 0.089 0.473 0.773
O 0.411 0.973 0.727
O 0.272 0.686 0.043
O 0.728 0.314 0.957
O 0.319 0.728 0.450
Na 0.010 0.961 0.251
Na 0.990 0.039 0.749
Na 0.510 0.539 0.751
Na 0.490 0.461 0.249
Tc 0.000 0.500 0.000
Tc 0.500 0.000 0.500
Dy 0.500 0.000 0.000
Dy 0.000 0.500 0.500
```